Arrangement 1

This record from the Alexandria database describes a relaxed Zn2CdSn crystal. The functional is GGA-PBE.

N(E_F), states/eV/atom: 0.478
M_tot, Bohr magnetons per cell: 0.00
ρ, g/cm³: 7.32

a = 3.208 Å, b = 3.208 Å, c = 7.979 Å
α = 90.00°, β = 90.00°, γ = 90.00°
Atoms (fractional coordinates):
Zn 0.000 0.000 0.240
Zn 0.000 0.000 0.760
Cd 0.500 0.500 0.000
Sn 0.500 0.500 0.500

=====

Arrangement 2

This record from the Alexandria database describes a relaxed Zn2CdSn crystal. The functional is GGA-PBE.

N(E_F), states/eV/atom: 0.307
M_tot, Bohr magnetons per cell: 0.00
ρ, g/cm³: 6.61

a = 6.969 Å, b = 6.969 Å, c = 6.969 Å
α = 33.30°, β = 33.30°, γ = 33.30°
Atoms (fractional coordinates):
Zn 0.000 0.000 0.000
Zn 0.170 0.170 0.170
Cd 0.587 0.587 0.587
Sn 0.418 0.418 0.418

=====

Which is most stable? The ranking, best first, is arrangement 1, arrangement 2.

=====

Arrangement 1

This record from the Alexandria database describes a relaxed Zn2CdSn crystal. The functional is GGA-PBE.

N(E_F), states/eV/atom: 0.387
M_tot, Bohr magnetons per cell: 0.00
ρ, g/cm³: 6.74

a = 9.729 Å, b = 9.729 Å, c = 9.729 Å
α = 153.87°, β = 153.87°, γ = 37.28°
Atoms (fractional coordinates):
Zn 0.091 0.625 0.966
Zn 0.375 0.341 0.466
Zn 0.659 0.125 0.034
Zn 0.875 0.909 0.534
Cd 0.000 0.000 0.000
Cd 0.750 0.250 0.500
Sn 0.250 0.750 0.500
Sn 0.500 0.500 0.000

=====

Arrangement 2

This record from the Alexandria database describes a relaxed Zn2CdSn crystal. The functional is GGA-PBE.

N(E_F), states/eV/atom: 0.346
M_tot, Bohr magnetons per cell: 0.00
ρ, g/cm³: 7.25

a = 4.539 Å, b = 4.539 Å, c = 4.022 Å
α = 90.00°, β = 90.00°, γ = 90.00°
Atoms (fractional coordinates):
Zn 0.000 0.500 0.000
Zn 0.500 0.000 0.000
Cd 0.000 0.000 0.500
Sn 0.500 0.500 0.500

=====

Which is most stable? The ranking, best first, is arrangement 2, arrangement 1.